No. 1
# RbFe2Se3 | OQMD via LeMat-Bulk | PBE-GGA | relaxed
data_RbFe2Se3
_chemical_formula_sum 'Rb2 Fe4 Se6'
_cell_length_a 8.631
_cell_length_b 3.659
_cell_length_c 9.474
_cell_angle_alpha 90.00
_cell_angle_beta 115.05
_cell_angle_gamma 90.00
_symmetry_space_group_name_H-M 'P 1 21/m 1'
_symmetry_Int_Tables_number 11
_symmetry_space_group_name_Hall '-P 2yb'
loop_
_atom_site_label
_atom_site_type_symbol
_atom_site_fract_x
_atom_site_fract_y
_atom_site_fract_z
Rb1 Rb 0.012 0.250 0.259
Fe1 Fe 0.473 0.250 0.162
Fe2 Fe 0.478 0.750 0.393
Se1 Se 0.272 0.750 0.135
Se2 Se 0.320 0.750 0.561
Se3 Se 0.361 0.250 0.878
# Total magnetization = 0.61 μB per atom
# E_tot = -61.7 eV per cell

No. 2
# Rb3Fe2Se4 | OQMD via LeMat-Bulk | PBE-GGA | relaxed
data_Rb3Fe2Se4
_chemical_formula_sum 'Rb12 Fe8 Se16'
_cell_length_a 7.724
_cell_length_b 11.265
_cell_length_c 12.638
_cell_angle_alpha 90.00
_cell_angle_beta 90.00
_cell_angle_gamma 90.00
_symmetry_space_group_name_H-M 'P n m a'
_symmetry_Int_Tables_number 62
_symmetry_space_group_name_Hall '-P 2ac 2n'
loop_
_atom_site_label
_atom_site_type_symbol
_atom_site_fract_x
_atom_site_fract_y
_atom_site_fract_z
Rb1 Rb 0.077 0.068 0.135
Rb2 Rb 0.092 0.250 0.765
Fe1 Fe 0.052 0.134 0.472
Se1 Se 0.079 0.750 0.664
Se2 Se 0.145 0.553 0.394
Se3 Se 0.200 0.750 0.032
# Total magnetization = 0.86 μB per atom
# E_tot = -161.0 eV per cell

No. 3
# RbFe3Se5 | OQMD via LeMat-Bulk | PBE-GGA | relaxed
data_RbFe3Se5
_chemical_formula_sum 'Rb1 Fe3 Se5'
_cell_length_a 5.6638
_cell_length_b 5.6638
_cell_length_c 7.3559
_cell_angle_alpha 90.00
_cell_angle_beta 90.00
_cell_angle_gamma 120.00
_symmetry_space_group_name_H-M 'P 6/m m m'
_symmetry_Int_Tables_number 191
_symmetry_space_group_name_Hall '-P 6 2'
loop_
_atom_site_label
_atom_site_type_symbol
_atom_site_fract_x
_atom_site_fract_y
_atom_site_fract_z
Rb1 Rb 0.0000 0.0000 0.0000
Fe1 Fe 0.0000 0.5000 0.5000
Se1 Se 0.0000 0.0000 0.5000
Se2 Se 0.3333 0.6667 0.2644
# Total magnetization = 0.76 μB per atom
# E_tot = -46.6 eV per cell

Q: Which value of E_tot does entry 1 give?
A: -61.7 eV per cell